# LiYHfTc (PBE, relaxed)
# DOS at the Fermi energy: 9.019 states/eV per cell
# crystal system: cubic
# formation enthalpy at 0 K: -0.34 eV/f.u.
# DFT total energy: -7.258 eV/atom
data_LiYHfTc
_symmetry_space_group_name_H-M 'F -4 3 m'
_symmetry_Int_Tables_number 216
_symmetry_space_group_name_Hall 'F -4 2 3'
_cell_length_a 6.755
_cell_length_b 6.755
_cell_length_c 6.755
_cell_angle_alpha 90.00
_cell_angle_beta 90.00
_cell_angle_gamma 90.00
loop_
_atom_site_label
_atom_site_type_symbol
_atom_site_fract_x
_atom_site_fract_y
_atom_site_fract_z
Li1 Li 0.000 0.000 0.000
Y1 Y 0.250 0.250 0.750
Hf1 Hf 0.250 0.250 0.250
Tc1 Tc 0.000 0.000 0.500